Entry 1:
{"formula": "K2BaCa", "functional": "GGA-PBE", "state": "relaxed", "lattice_angstrom": [[5.912, 0.000, 0.000], [0.000, 5.912, 0.000], [0.000, 0.000, 6.914]], "species": ["K", "K", "Ba", "Ca"], "fractional_positions": [[0.000, 0.500, 0.000], [0.500, 0.000, 0.000], [0.000, 0.000, 0.500], [0.500, 0.500, 0.500]], "e_tot_ev_per_atom": -1.375, "delta_e_f_ev_per_atom": 0.16, "space_group": "No. 123"}

---

Entry 2:
{"formula": "Ba2Li12MgAg3", "functional": "GGA-PBE", "state": "relaxed", "lattice_angstrom": [[5.057, 2.920, 4.724], [-5.057, 2.920, 4.724], [0.000, -5.840, 4.724]], "species": ["Ba", "Ba", "Li", "Li", "Li", "Li", "Li", "Li", "Li", "Li", "Li", "Li", "Li", "Li", "Mg", "Ag", "Ag", "Ag"], "fractional_positions": [[0.243, 0.243, 0.243], [0.757, 0.757, 0.757], [0.088, 0.088, 0.653], [0.088, 0.653, 0.088], [0.222, 0.688, 0.688], [0.312, 0.312, 0.778], [0.312, 0.778, 0.312], [0.347, 0.912, 0.912], [0.653, 0.088, 0.088], [0.688, 0.222, 0.688], [0.688, 0.688, 0.222], [0.778, 0.312, 0.312], [0.912, 0.347, 0.912], [0.912, 0.912, 0.347], [0.500, 0.500, 0.500], [0.000, 0.500, 0.500], [0.500, 0.000, 0.500], [0.500, 0.500, 0.000]], "e_tot_ev_per_atom": -2.037, "delta_e_f_ev_per_atom": 0.02, "space_group": "No. 166"}

---

Entry 3:
{"formula": "SiMoSe2", "functional": "GGA-PBE", "state": "relaxed", "lattice_angstrom": [[3.214, 0.000, 0.000], [-1.607, 2.783, 0.000], [0.000, 0.000, 26.815]], "species": ["Si", "Si", "Si", "Mo", "Mo", "Mo", "Se", "Se", "Se", "Se", "Se", "Se"], "fractional_positions": [[0.000, 0.000, 0.000], [0.333, 0.667, 0.667], [0.667, 0.333, 0.333], [0.000, 0.000, 0.500], [0.333, 0.667, 0.167], [0.667, 0.333, 0.833], [0.000, 0.000, 0.101], [0.000, 0.000, 0.899], [0.333, 0.667, 0.566], [0.333, 0.667, 0.767], [0.667, 0.333, 0.233], [0.667, 0.333, 0.434]], "formation_energy_uncorrected_mev_per_atom": 41, "e_tot_ev_per_atom": -5.765, "space_group": "No. 166"}

---

Entry 4:
{"formula": "SrMg2Ru", "functional": "GGA-PBE", "state": "relaxed", "lattice_angstrom": [[3.443, 0.000, 0.000], [-1.721, 2.982, 0.000], [0.000, 0.000, 28.803]], "species": ["Sr", "Sr", "Sr", "Mg", "Mg", "Mg", "Mg", "Mg", "Mg", "Ru", "Ru", "Ru"], "fractional_positions": [[0.000, 0.000, 0.000], [0.333, 0.667, 0.667], [0.667, 0.333, 0.333], [0.000, 0.000, 0.228], [0.000, 0.000, 0.772], [0.333, 0.667, 0.439], [0.333, 0.667, 0.895], [0.667, 0.333, 0.105], [0.667, 0.333, 0.561], [0.000, 0.000, 0.500], [0.333, 0.667, 0.167], [0.667, 0.333, 0.833]], "e_tot_ev_per_atom": -3.120, "delta_e_f_ev_per_atom": 0.42, "space_group": "No. 166"}